Record 1
The following is a DFT calculation (GGA-PBE) of a geometry-optimized CdReBr2 structure.

abc: 10.8460 10.8460 10.8460
angles: 18.43 18.43 18.43
With the nearest neighbours (Å) after each atom.
Sites, in units of the cell vectors:
Cd 0.0000 0.0000 0.0000  6 Cd 3.47, 2 Br 3.70
Re 0.5000 0.5000 0.5000  6 Br 2.59
Br 0.1156 0.1156 0.1156  3 Re 2.59
Br 0.8844 0.8844 0.8844  3 Re 2.59

Summary:
space group = R-3m, No. 166
formation energy without anion corrections = 2.2 eV/f.u.
crystal system = trigonal
ΔE to the lowest computed polymorph = 1.22 eV per formula unit

=====

Record 2
The following is a DFT calculation (GGA-PBE) of a geometry-optimized LaMgCr2 structure.

abc: 3.5580 3.5580 6.5258
angles: 90.00 90.00 90.00
With the nearest neighbours (Å) after each atom.
Sites, in units of the cell vectors:
La 0.0000 0.0000 0.0000  2 Mg 3.26, 8 Cr 3.41, 4 La 3.56
Mg 0.0000 0.0000 0.5000  8 Cr 2.69
Cr 0.5000 0.5000 0.3524  1 Cr 1.93
Cr 0.5000 0.5000 0.6476  1 Cr 1.93

Summary:
space group = P4/mmm, No. 123
E = -23.225 eV for the cell shown
crystal system = tetragonal

=====

Record 3
The following is a DFT calculation (GGA-PBE) of a geometry-optimized Ti2VCo3 structure.

abc: 2.9641 2.9641 8.7995
angles: 90.00 90.00 90.00
With the nearest neighbours (Å) after each atom.
Sites, in units of the cell vectors:
Ti 0.0000 0.0000 0.1700  8 Co 2.57
Ti 0.0000 0.0000 0.8300  8 Co 2.57
V 0.0000 0.0000 0.5000  8 Co 2.53
Co 0.5000 0.5000 0.0000  8 Ti 2.57
Co 0.5000 0.5000 0.3390  4 V 2.53, 4 Ti 2.57
Co 0.5000 0.5000 0.6610  4 V 2.53, 4 Ti 2.57

Summary:
space group = P4/mmm, No. 123
crystal system = tetragonal
ΔE to the lowest computed polymorph = 0.02 eV per formula unit